# 1
{"formula": "NaB2RuO6", "functional": "PBE", "state": "optimized geometry", "lattice": [[2.4238, 1.3994, 5.3958], [-2.4238, 1.3994, 5.3958], [0.0000, -2.7987, 5.3958]], "species": ["Na", "B", "B", "Ru", "O", "O", "O", "O", "O", "O"], "frac_coords": [[0.0000, 0.0000, 0.0000], [0.2342, 0.2342, 0.2342], [0.7658, 0.7658, 0.7658], [0.5000, 0.5000, 0.5000], [0.0672, 0.7189, 0.5018], [0.2811, 0.4982, 0.9328], [0.4982, 0.9328, 0.2811], [0.5018, 0.0672, 0.7189], [0.7189, 0.5018, 0.0672], [0.9328, 0.2811, 0.4982]], "dos_at_fermi_per_ev_cell": 0.1}

***

# 2
{"formula": "NaBRuO5", "functional": "PBE", "state": "optimized geometry", "lattice": [[3.1735, -4.1421, 0.0000], [3.1735, 4.1421, 0.0000], [-3.1522, 0.0000, 6.3288]], "species": ["Na", "Na", "B", "B", "Ru", "Ru", "O", "O", "O", "O", "O", "O", "O", "O", "O", "O"], "frac_coords": [[0.1586, 0.8414, 0.7500], [0.8414, 0.1586, 0.2500], [0.1904, 0.8096, 0.2500], [0.8096, 0.1904, 0.7500], [0.5000, 0.5000, 0.0000], [0.5000, 0.5000, 0.5000], [0.0979, 0.2552, 0.9059], [0.1879, 0.6089, 0.3633], [0.2552, 0.0979, 0.4059], [0.3911, 0.8121, 0.1367], [0.4255, 0.5745, 0.7500], [0.5745, 0.4255, 0.2500], [0.6089, 0.1879, 0.8633], [0.7448, 0.9021, 0.5941], [0.8121, 0.3911, 0.6367], [0.9021, 0.7448, 0.0941]], "dos_at_fermi_per_ev_cell": 8.3}

***

# 3
{"formula": "Na2B2RuO6", "functional": "PBE", "state": "optimized geometry", "lattice": [[5.0590, 0.0000, 0.0000], [-2.5295, 4.3813, 0.0000], [0.0000, 0.0000, 5.9154]], "species": ["Na", "Na", "B", "B", "Ru", "O", "O", "O", "O", "O", "O"], "frac_coords": [[0.3333, 0.6667, 0.3400], [0.6667, 0.3333, 0.6600], [0.3333, 0.6667, 0.8205], [0.6667, 0.3333, 0.1795], [0.0000, 0.0000, 0.0000], [0.0997, 0.7331, 0.8050], [0.2669, 0.3666, 0.8050], [0.3666, 0.0997, 0.1950], [0.6334, 0.9003, 0.8050], [0.7331, 0.6334, 0.1950], [0.9003, 0.2669, 0.1950]], "dos_at_fermi_per_ev_cell": 4.3}

***

# 4
{"formula": "NaB2SO6", "functional": "PBE", "state": "optimized geometry", "lattice": [[4.9627, -5.2912, 0.0000], [4.9627, 5.2912, 0.0000], [-1.3359, 0.0000, 4.6037]], "species": ["Na", "Na", "B", "B", "B", "B", "S", "S", "O", "O", "O", "O", "O", "O", "O", "O", "O", "O", "O", "O"], "frac_coords": [[0.1455, 0.8545, 0.7500], [0.8545, 0.1455, 0.2500], [0.2177, 0.2815, 0.8619], [0.2815, 0.2177, 0.3619], [0.7185, 0.7823, 0.6381], [0.7823, 0.7185, 0.1381], [0.3544, 0.6456, 0.2500], [0.6456, 0.3544, 0.7500], [0.1722, 0.1872, 0.0755], [0.1852, 0.6268, 0.3723], [0.1872, 0.1722, 0.5755], [0.2780, 0.4658, 0.8974], [0.3732, 0.8148, 0.1277], [0.4658, 0.2780, 0.3974], [0.5342, 0.7220, 0.6026], [0.6268, 0.1852, 0.8723], [0.7220, 0.5342, 0.1026], [0.8128, 0.8278, 0.4245], [0.8148, 0.3732, 0.6277], [0.8278, 0.8128, 0.9245]]}

***

# 5
{"formula": "Na5BS4O16", "functional": "PBE", "state": "optimized geometry", "lattice": [[8.6906, 0.0000, 0.0000], [0.0000, 9.4452, 0.0000], [0.0000, 0.0000, 16.9460]], "species": ["Na", "Na", "Na", "Na", "Na", "Na", "Na", "Na", "Na", "Na", "Na", "Na", "Na", "Na", "Na", "Na", "Na", "Na", "Na", "Na", "B", "B", "B", "B", "S", "S", "S", "S", "S", "S", "S", "S", "S", "S", "S", "S", "S", "S", "S", "S", "O", "O", "O", "O", "O", "O", "O", "O", "O", "O", "O", "O", "O", "O", "O", "O", "O", "O", "O", "O", "O", "O", "O", "O", "O", "O", "O", "O", "O", "O", "O", "O", "O", "O", "O", "O", "O", "O", "O", "O", "O", "O", "O", "O", "O", "O", "O", "O", "O", "O", "O", "O", "O", "O", "O", "O", "O", "O", "O", "O", "O", "O", "O", "O"], "frac_coords": [[0.0251, 0.0056, 0.4353], [0.1559, 0.7846, 0.8437], [0.1651, 0.6156, 0.6320], [0.1692, 0.5491, 0.4235], [0.2253, 0.1622, 0.7913], [0.2747, 0.8378, 0.2913], [0.3308, 0.4509, 0.9235], [0.3349, 0.3844, 0.1320], [0.3441, 0.2154, 0.3437], [0.4749, 0.9944, 0.9353], [0.5251, 0.4944, 0.5647], [0.6559, 0.7154, 0.1563], [0.6651, 0.8844, 0.3680], [0.6692, 0.9509, 0.5765], [0.7253, 0.3378, 0.2087], [0.7747, 0.6622, 0.7087], [0.8308, 0.0491, 0.0765], [0.8349, 0.1156, 0.8680], [0.8441, 0.2846, 0.6563], [0.9749, 0.5056, 0.0647], [0.2226, 0.9843, 0.1166], [0.2774, 0.0157, 0.6166], [0.7226, 0.5157, 0.8834], [0.7774, 0.4843, 0.3834], [0.0033, 0.4559, 0.8005], [0.0626, 0.1290, 0.2322], [0.1736, 0.1719, 0.9954], [0.2043, 0.2577, 0.5391], [0.2957, 0.7423, 0.0391], [0.3264, 0.8281, 0.4954], [0.4374, 0.8710, 0.7322], [0.4967, 0.5441, 0.3005], [0.5033, 0.0441, 0.1995], [0.5626, 0.3710, 0.7678], [0.6736, 0.3281, 0.0046], [0.7043, 0.2423, 0.4609], [0.7957, 0.7577, 0.9609], [0.8264, 0.6719, 0.5046], [0.9374, 0.6290, 0.2678], [0.9967, 0.9559, 0.6995], [0.0023, 0.8048, 0.6803], [0.0060, 0.4806, 0.7145], [0.0287, 0.0979, 0.9805], [0.0555, 0.2568, 0.5780], [0.0780, 0.0348, 0.1533], [0.1006, 0.6632, 0.2684], [0.1078, 0.0381, 0.2992], [0.1256, 0.5308, 0.8426], [0.1543, 0.0286, 0.6769], [0.1535, 0.3098, 0.0343], [0.1671, 0.2501, 0.2246], [0.1825, 0.8413, 0.0875], [0.1952, 0.2012, 0.4581], [0.2207, 0.6024, 0.0411], [0.2223, 0.9211, 0.5524], [0.2274, 0.8155, 0.4252], [0.2726, 0.1845, 0.9252], [0.2777, 0.0789, 0.0524], [0.2793, 0.3976, 0.5411], [0.3048, 0.7988, 0.9581], [0.3175, 0.1587, 0.5875], [0.3329, 0.7499, 0.7246], [0.3465, 0.6902, 0.5343], [0.3457, 0.9714, 0.1769], [0.3744, 0.4692, 0.3426], [0.3922, 0.9619, 0.7992], [0.3994, 0.3368, 0.7684], [0.4220, 0.9652, 0.6533], [0.4445, 0.7432, 0.0780], [0.4713, 0.9021, 0.4805], [0.4940, 0.5194, 0.2145], [0.4977, 0.1952, 0.1803], [0.5023, 0.6952, 0.3197], [0.5060, 0.0194, 0.2855], [0.5287, 0.4021, 0.0195], [0.5555, 0.2432, 0.4220], [0.5780, 0.4652, 0.8467], [0.6006, 0.8368, 0.7316], [0.6078, 0.4619, 0.7008], [0.6256, 0.9692, 0.1574], [0.6535, 0.1902, 0.9657], [0.6543, 0.4714, 0.3231], [0.6671, 0.2499, 0.7754], [0.6825, 0.6587, 0.9125], [0.6952, 0.2988, 0.5419], [0.7207, 0.8976, 0.9589], [0.7223, 0.5789, 0.4476], [0.7274, 0.6845, 0.5748], [0.7726, 0.3155, 0.0748], [0.7777, 0.4211, 0.9476], [0.7793, 0.1024, 0.4589], [0.8048, 0.7012, 0.0419], [0.8175, 0.3413, 0.4125], [0.8329, 0.7501, 0.2754], [0.8457, 0.5286, 0.8231], [0.8465, 0.8098, 0.4657], [0.8744, 0.0308, 0.6574], [0.8922, 0.5381, 0.2008], [0.8994, 0.1632, 0.2316], [0.9220, 0.5348, 0.3467], [0.9445, 0.7568, 0.9220], [0.9713, 0.5979, 0.5195], [0.9940, 0.9806, 0.7855], [0.9977, 0.3048, 0.8197]], "dos_at_fermi_per_ev_cell": 0.0}

***

# 6
{"formula": "NaB2SO2", "functional": "PBE", "state": "optimized geometry", "lattice": [[6.1326, 0.0000, 0.0000], [0.0000, 4.6860, 0.0000], [-2.6936, 0.0000, 5.7504]], "species": ["Na", "Na", "B", "B", "B", "B", "S", "S", "O", "O", "O", "O"], "frac_coords": [[0.2307, 0.2500, 0.3280], [0.7693, 0.7500, 0.6720], [0.3962, 0.0212, 0.8349], [0.3962, 0.4788, 0.8349], [0.6038, 0.5212, 0.1651], [0.6038, 0.9788, 0.1651], [0.1364, 0.2500, 0.8537], [0.8636, 0.7500, 0.1463], [0.3696, 0.7500, 0.7337], [0.4932, 0.2500, 0.7459], [0.5068, 0.7500, 0.2541], [0.6304, 0.2500, 0.2663]], "dos_at_fermi_per_ev_cell": 0.4}

***

We obtain total moment values of 3.00 0.66 2.00 1.00 0.12 0.00 μB/f.u. for the records listed above, in that order.
We obtain uncorrected formation energy values of -1.76 -1.42 -1.78 -1.74 -1.75 -1.42 eV/atom for the records listed above, in that order.